No. 1
The following is a GGA-PBE calculation of crystalline Ho2TmZrS4 at its relaxed geometry, from Alexandria via LeMat-Bulk.

a = 3.8365 Å, b = 6.6307 Å, c = 6.6215 Å
α = 109.72°, β = 90.00°, γ = 90.00°
Element x y z (fractional)
Tm: 0.0000 0.0000 0.0000
Zr: 0.5000 0.5000 0.0000
S: 0.0000 0.2537 0.7564
S: 0.5000 0.2500 0.2446
S: 0.0000 0.7463 0.2436
S: 0.5000 0.7500 0.7554
Ho: 0.0000 0.5000 0.5000
Ho: 0.5000 0.0000 0.5000

**Total magnetic moment**: 0.00 Bohr magnetons per cell
**Formation energy (no corrections)**: -1.808 eV/atom



No. 2
The following is a GGA-PBE calculation of crystalline HoU2S4 at its relaxed geometry, from Alexandria via LeMat-Bulk.

a = 3.7216 Å, b = 6.7378 Å, c = 13.2229 Å
α = 90.00°, β = 90.00°, γ = 106.03°
Element x y z (fractional)
S: 0.2180 0.4361 0.8730
S: 0.2180 0.4361 0.6270
S: 0.7820 0.5639 0.3730
S: 0.9638 0.9276 0.7500
S: 0.5000 0.0000 0.5000
S: 0.7820 0.5639 0.1270
S: 0.0362 0.0724 0.2500
S: 0.5000 0.0000 0.0000
U: 0.8639 0.7277 0.9329
U: 0.1361 0.2723 0.4329
U: 0.8639 0.7277 0.5671
U: 0.1361 0.2723 0.0671
Ho: 0.6191 0.2381 0.7500
Ho: 0.3809 0.7619 0.2500

**Total magnetic moment**: 12.25 Bohr magnetons per cell
**Formation energy (no corrections)**: -1.526 eV/atom



No. 3
The following is a GGA-PBE calculation of crystalline Ho4US5 at its relaxed geometry, from Alexandria via LeMat-Bulk.

a = 3.8778 Å, b = 3.8778 Å, c = 13.9847 Å
α = 97.97°, β = 97.97°, γ = 90.00°
Element x y z (fractional)
Ho: 0.4007 0.4007 0.8015
Ho: 0.1980 0.1980 0.3960
Ho: 0.8020 0.8020 0.6040
Ho: 0.5993 0.5993 0.1985
S: 0.7007 0.7007 0.4014
S: 0.8999 0.8999 0.7999
S: 0.1001 0.1001 0.2001
S: 0.5000 0.5000 0.0000
S: 0.2993 0.2993 0.5986
U: 0.0000 0.0000 0.0000

**Total magnetic moment**: 2.27 Bohr magnetons per cell
**Formation energy (no corrections)**: -1.852 eV/atom



No. 4
The following is a GGA-PBE calculation of crystalline Ho2US4 at its relaxed geometry, from Alexandria via LeMat-Bulk.

a = 3.9362 Å, b = 6.8193 Å, c = 7.7453 Å
α = 118.47°, β = 104.72°, γ = 90.00°
Element x y z (fractional)
S: 0.1274 0.8106 0.2547
S: 0.3606 0.7270 0.7212
S: 0.8726 0.1894 0.7453
S: 0.6394 0.2730 0.2788
U: 0.0000 0.0000 0.0000
Ho: 0.7289 0.7339 0.4578
Ho: 0.2711 0.2661 0.5422

**Total magnetic moment**: 3.26 Bohr magnetons per cell
**Formation energy (no corrections)**: -1.728 eV/atom



No. 5
The following is a GGA-PBE calculation of crystalline Ho2US5 at its relaxed geometry, from Alexandria via LeMat-Bulk.

a = 5.3712 Å, b = 5.2143 Å, c = 7.7845 Å
α = 79.76°, β = 69.82°, γ = 59.00°
Element x y z (fractional)
S: 0.8184 0.1719 0.1913
S: 0.0000 0.5000 0.5000
S: 0.4903 0.8281 0.1913
S: 0.1816 0.8281 0.8087
S: 0.5097 0.1719 0.8087
Ho: 0.1799 0.5000 0.1401
Ho: 0.8201 0.5000 0.8599
U: 0.5000 0.5000 0.5000

**Total magnetic moment**: 1.79 Bohr magnetons per cell
**Formation energy (no corrections)**: -1.484 eV/atom



No. 6
The following is a GGA-PBE calculation of crystalline Ho2US5 at its relaxed geometry, from Alexandria via LeMat-Bulk.

a = 5.3024 Å, b = 7.0473 Å, c = 13.1339 Å
α = 90.00°, β = 90.00°, γ = 112.10°
Element x y z (fractional)
S: 0.7546 0.5091 0.2500
S: 0.9527 0.9054 0.6205
S: 0.9527 0.9054 0.8795
S: 0.3143 0.6286 0.0736
S: 0.0473 0.0946 0.1205
S: 0.6857 0.3714 0.5736
S: 0.0473 0.0946 0.3795
S: 0.6857 0.3714 0.9264
S: 0.2454 0.4909 0.7500
S: 0.3143 0.6286 0.4264
Ho: 0.1459 0.2917 0.5573
Ho: 0.8541 0.7083 0.0573
Ho: 0.1459 0.2917 0.9427
Ho: 0.8541 0.7083 0.4427
U: 0.1990 0.3979 0.2500
U: 0.8010 0.6021 0.7500

**Total magnetic moment**: 4.00 Bohr magnetons per cell
**Formation energy (no corrections)**: -1.766 eV/atom



Question: What is the total magnetic moment in the third record?
Answer: 2.27 Bohr magnetons per cell



Question: Number 6 is which compound?
Answer: Ho2US5